VASP calculation (PBE-GGA) on a relaxed structure of SrHgCl3.

abc: 5.660 5.660 5.660
angles: 90.00 90.00 90.00
Positions (direct):
Cl 0.000 0.000 0.500
Cl 0.500 0.000 0.000
Cl 0.000 0.500 0.000
Sr 0.000 0.000 0.000
Hg 0.500 0.500 0.500

The value obtained for the energy above the most stable polymorph in this dataset is 0 meV/atom. The symmetry is Pm-3m.